Density functional theory data (PBEsol) for an optimized crystal structure of AsOsC3.

Summary:
- Crystal system: cubic
- Total magnetic moment: 0.4 μB per formula unit
- ΔE_f: 3.02 eV/atom

a b c (Å): 3.799 3.799 3.799
angles (deg): 90.00 90.00 90.00
Each line ends with the local moment (μB).
Element x y z (fractional)
C (0.500, 0.000, 0.000)  -0.01
C (0.000, 0.500, 0.000)  -0.01
C (0.000, 0.000, 0.500)  -0.01
As (0.000, 0.000, 0.000)  0.01
Os (0.500, 0.500, 0.500)  0.37

Density functional theory data (PBEsol) for an optimized crystal structure of Ce9SmO20.

Summary:
- Crystal system: triclinic
- Total magnetic moment: 0.0 μB per formula unit
- Raw formation energy: -328 kJ/mol of atoms

a b c (Å): 6.619 7.641 8.544
angles (deg): 102.92 97.43 106.77
Element x y z (fractional)
O (0.148, 0.174, 0.549)
O (0.850, 0.325, 0.452)
O (0.150, 0.675, 0.548)
O (0.852, 0.826, 0.451)
O (0.644, 0.923, 0.052)
O (0.552, 0.975, 0.351)
O (0.256, 0.128, 0.255)
O (0.648, 0.425, 0.049)
O (0.051, 0.719, 0.846)
O (0.352, 0.575, 0.951)
O (0.448, 0.523, 0.649)
O (0.356, 0.077, 0.948)
O (0.050, 0.230, 0.847)
O (0.950, 0.770, 0.153)
O (0.552, 0.477, 0.351)
O (0.746, 0.374, 0.750)
O (0.254, 0.626, 0.250)
O (0.949, 0.281, 0.154)
O (0.448, 0.025, 0.649)
O (0.744, 0.872, 0.745)
Ce (0.400, 0.800, 0.801)
Ce (0.602, 0.701, 0.200)
Ce (0.200, 0.900, 0.399)
Ce (0.600, 0.200, 0.199)
Ce (0.800, 0.100, 0.601)
Ce (0.000, 0.500, 0.000)
Ce (0.398, 0.299, 0.800)
Ce (0.800, 0.601, 0.601)
Ce (0.200, 0.399, 0.399)
Sm (0.000, 0.000, 0.000)

Density functional theory data (PBEsol) for an optimized crystal structure of Dy5Re2O12.

Summary:
- Crystal system: monoclinic
- Total magnetic moment: 0.0 μB per formula unit
- Raw formation energy: -286 kJ/mol of atoms

a b c (Å): 5.593 6.771 7.466
angles (deg): 106.28 90.00 114.40
Element x y z (fractional)
Re (0.284, 0.000, 0.000)
Re (0.716, 0.000, 0.000)
O (0.094, 0.692, 0.426)
O (0.402, 0.308, 0.574)
O (0.598, 0.692, 0.426)
O (0.001, 0.003, 0.178)
O (0.501, 0.002, 0.793)
O (0.081, 0.668, 0.915)
O (0.999, 0.997, 0.822)
O (0.906, 0.308, 0.574)
O (0.919, 0.332, 0.085)
O (0.499, 0.998, 0.207)
O (0.413, 0.332, 0.085)
O (0.587, 0.668, 0.915)
Dy (0.803, 0.606, 0.642)
Dy (0.500, 0.000, 0.500)
Dy (0.197, 0.394, 0.358)
Dy (0.186, 0.371, 0.825)
Dy (0.814, 0.629, 0.175)

Density functional theory data (PBEsol) for an optimized crystal structure of TaSi2Ir.

Summary:
- Crystal system: cubic
- Total magnetic moment: 0.0 μB per formula unit
- Raw formation energy: -2 kJ/mol of atoms

a b c (Å): 4.376 4.376 4.376
angles (deg): 60.00 60.00 60.00
Element x y z (fractional)
Ir (0.500, 0.500, 0.500)
Ta (0.250, 0.250, 0.250)
Si (0.750, 0.750, 0.750)
Si (0.000, 0.000, 0.000)

no.,total DFT energy (no corrections) (eV/atom)
1,-6.2354
2,-9.0489
3,-8.9938
4,-8.4883